(1)
Here is a geometry-optimized LaTmPu4 structure from Alexandria. Energies are from PBE.

The density of states at the Fermi level is 112.9 states/eV per cell. The electronic total energy is -10.89 eV/atom.

The space group is F-43m (No. 216) and the conventional cell measures 8.773, 8.773 and 8.773 Å, with angles of 90.00, 90.00 and 90.00 degrees. The distinct sites, in fractional coordinates, are La at (0.000, 0.000, 0.000), Tm at (0.250, 0.250, 0.250) and Pu at (0.125, 0.125, 0.625).

---

(2)
Here is a geometry-optimized La2TmPu structure from Alexandria. Energies are from PBE.

The density of states at the Fermi level is 38.6 states/eV per cell. As for the offset from the most stable computed form: 148.4 meV/atom.

The space group is R-3m (No. 166, hexagonal axes) and the conventional cell measures 3.5048, 3.5048 and 37.3740 Å, with angles of 90.00, 90.00 and 120.00 degrees. The distinct sites, in fractional coordinates, are La at (0.0000, 0.0000, 0.0870), Tm at (0.0000, 0.0000, 0.5000) and Pu at (0.0000, 0.0000, 0.0000).

---

(3)
Here is a geometry-optimized La2TmPu structure from Alexandria. Energies are from PBE.

The density of states at the Fermi level is 8.7 states/eV per cell. As for the offset from the most stable computed form: 0.0 meV/atom.

The space group is P4/mmm (No. 123) and the conventional cell measures 3.598, 3.598 and 10.121 Å, with angles of 90.00, 90.00 and 90.00 degrees. The distinct sites, in fractional coordinates, are La at (0.000, 0.000, 0.246), Tm at (0.500, 0.500, 0.500) and Pu at (0.500, 0.500, 0.000).

---

(4)
Here is a geometry-optimized La2TmPu structure from Alexandria. Energies are from PBE.

The density of states at the Fermi level is 55.0 states/eV per cell. As for the offset from the most stable computed form: 80.1 meV/atom.

The space group is Fm-3m (No. 225) and the conventional cell measures 8.079, 8.079 and 8.079 Å, with angles of 90.00, 90.00 and 90.00 degrees. The distinct sites, in fractional coordinates, are La at (0.250, 0.250, 0.250), Tm at (0.000, 0.000, 0.000) and Pu at (0.000, 0.000, 0.500).

---

(5)
Here is a geometry-optimized La2TmPu structure from Alexandria. Energies are from PBE.

The density of states at the Fermi level is 35.0 states/eV per cell. As for the offset from the most stable computed form: 16.0 meV/atom.

The space group is R3m (No. 160, hexagonal axes) and the conventional cell measures 3.6080, 3.6080 and 34.8107 Å, with angles of 90.00, 90.00 and 120.00 degrees. The distinct sites, in fractional coordinates, are La at (0.0000, 0.0000, 0.0000), La at (0.0000, 0.0000, 0.1684), Tm at (0.0000, 0.0000, 0.7513) and Pu at (0.0000, 0.0000, 0.5832).

---

(6)
Here is a geometry-optimized LaTm14Pu structure from Alexandria. Energies are from PBE.

The density of states at the Fermi level is 27.6 states/eV per cell. The electronic total energy is -5.07 eV/atom.

The space group is P4/mmm (No. 123) and the conventional cell measures 6.998, 6.998 and 9.869 Å, with angles of 90.00, 90.00 and 90.00 degrees. The distinct sites, in fractional coordinates, are La at (0.000, 0.000, 0.000), Tm at (0.000, 0.000, 0.500), Tm at (0.000, 0.500, 0.000), Tm at (0.000, 0.500, 0.500), Tm at (0.253, 0.253, 0.251), Tm at (0.500, 0.500, 0.500) and Pu at (0.500, 0.500, 0.000).

---

(7)
Here is a geometry-optimized La4Tm3Pu structure from Alexandria. Energies are from PBE.

The density of states at the Fermi level is 37.3 states/eV per cell. The electronic total energy is -5.78 eV/atom.

The space group is Immm (No. 71) and the conventional cell measures 3.487, 11.610 and 13.036 Å, with angles of 90.00, 90.00 and 90.00 degrees. The distinct sites, in fractional coordinates, are La at (0.000, 0.247, 0.129), Tm at (0.000, 0.000, 0.500), Tm at (0.000, 0.500, 0.268) and Pu at (0.000, 0.000, 0.000).

---

(8)
Here is a geometry-optimized La2TmPu structure from Alexandria. Energies are from PBE.

The density of states at the Fermi level is 15.2 states/eV per cell. As for the offset from the most stable computed form: 29.1 meV/atom.

The space group is P4/mmm (No. 123) and the conventional cell measures 5.115, 5.115 and 4.927 Å, with angles of 90.00, 90.00 and 90.00 degrees. The distinct sites, in fractional coordinates, are La at (0.000, 0.500, 0.000), Tm at (0.000, 0.000, 0.500) and Pu at (0.500, 0.500, 0.500).

---

(9)
Here is a geometry-optimized LaYTmPu structure from Alexandria. Energies are from PBE.

The density of states at the Fermi level is 50.3 states/eV per cell. The electronic total energy is -7.35 eV/atom.

The space group is F-43m (No. 216) and the conventional cell measures 7.983, 7.983 and 7.983 Å, with angles of 90.00, 90.00 and 90.00 degrees. The distinct sites, in fractional coordinates, are La at (0.000, 0.000, 0.000), Y at (0.000, 0.000, 0.500), Tm at (0.250, 0.250, 0.250) and Pu at (0.250, 0.250, 0.750).

---

(10)
Here is a geometry-optimized LaPuU structure from Alexandria. Energies are from PBE.

The density of states at the Fermi level is 30.8 states/eV per cell. As for the offset from the most stable computed form: 0.0 meV/atom.

The space group is C2/m (No. 12) and the conventional cell measures 14.420, 4.153 and 5.354 Å, with angles of 90.00, 95.38 and 90.00 degrees. The distinct sites, in fractional coordinates, are La at (0.067, 0.000, 0.267), Pu at (0.167, 0.500, 0.829) and U at (0.245, 0.500, 0.283).

---

(11)
Here is a geometry-optimized LaPuU structure from Alexandria. Energies are from PBE.

The density of states at the Fermi level is 12.5 states/eV per cell. As for the offset from the most stable computed form: 21.8 meV/atom.

The space group is I4mm (No. 107) and the conventional cell measures 3.486, 3.486 and 12.697 Å, with angles of 90.00, 90.00 and 90.00 degrees. The distinct sites, in fractional coordinates, are La at (0.000, 0.000, 0.000), Pu at (0.000, 0.000, 0.290) and U at (0.000, 0.000, 0.717).

---

(12)
Here is a geometry-optimized LaPuV structure from Alexandria. Energies are from PBE.

The density of states at the Fermi level is 9.9 states/eV per cell. The electronic total energy is -9.05 eV/atom.

The space group is P-1 (No. 2) and the conventional cell measures 3.346, 5.329 and 7.767 Å, with angles of 104.76, 93.45 and 103.15 degrees. The distinct sites, in fractional coordinates, are La at (0.170, 0.309, 0.102), Pu at (0.301, 0.363, 0.578) and V at (0.472, 0.045, 0.673).

---

(13)
Here is a geometry-optimized La2YPu structure from Alexandria. Energies are from PBE.

The density of states at the Fermi level is 9.2 states/eV per cell. As for the offset from the most stable computed form: 0.0 meV/atom.

The space group is P4/mmm (No. 123) and the conventional cell measures 3.611, 3.611 and 10.222 Å, with angles of 90.00, 90.00 and 90.00 degrees. The distinct sites, in fractional coordinates, are La at (0.000, 0.000, 0.242), Y at (0.500, 0.500, 0.500) and Pu at (0.500, 0.500, 0.000).